First-principles (PBE-GGA) data for a relaxed structure of Ca2TiF8, as listed in the Alexandria database.

Cell lengths 7.738, 7.738, 4.985 Å; angles 104.40, 104.40, 27.58 degrees
Fractional coordinates of all 11 atoms:
Ca: 0.168 0.168 0.157
Ca: 0.832 0.832 0.843
Ti: 0.500 0.500 0.500
F: 0.017 0.017 0.295
F: 0.235 0.235 0.778
F: 0.382 0.382 0.592
F: 0.414 0.414 0.137
F: 0.586 0.586 0.863
F: 0.618 0.618 0.408
F: 0.765 0.765 0.222
F: 0.983 0.983 0.705

Calculated density in g/cm³: 3.48
Space-group type: No. 12
Total magnetic moment in μB per atom: 0.000
Formation energy from raw total energies in meV per atom: -3538
Density of states at the Fermi level in states/eV/cell: 0.0
Volume in A^3/atom: 12.14
Crystal system: monoclinic